DFT (PBE-GGA) results for a relaxed Hf3ZrCu crystal.

Unit cell a=4.8808 b=4.8808 c=4.8808 alpha=90.00 beta=90.00 gamma=90.00
With the nearest neighbours (Å) after each atom.
Positions (direct):
Zr (0.5000, 0.5000, 0.5000)  12 Hf 3.45
Hf (0.0000, 0.5000, 0.0000)  2 Cu 2.44
Hf (0.5000, 0.0000, 0.0000)  2 Cu 2.44
Hf (0.0000, 0.0000, 0.5000)  2 Cu 2.44
Cu (0.0000, 0.0000, 0.0000)  6 Hf 2.44

**Symmetry**: Pm-3m (221)
**Crystal system**: cubic
**ρ**: 9.86 g cm⁻³
**ΔE_f**: 0.549 eV per atom
**Energy above the lowest structure with this stoichiometry**: 0 meV per atom
**E**: -7.952 eV/atom